Compound: ZnSbSe2
Source: Alexandria via LeMat-Bulk
Functional: PBE-GGA
Structure: optimized geometry

## Properties
polymorph energy (0 for the lowest one): 175.5 meV/atom
E_form (uncorrected): -1.38 kcal/mol of atoms

```
ZnSbSe2
1.0
-1.884 2.377 5.607
1.884 -2.377 5.607
1.884 2.377 -5.607
Zn Sb Se
1 1 2
Direct
0.000 0.000 0.000 Zn
0.500 0.500 0.000 Sb
0.159 0.659 0.500 Se
0.841 0.341 0.500 Se
```


Compound: Zn2SbSe
Source: Alexandria via LeMat-Bulk
Functional: PBE-GGA
Structure: optimized geometry

## Properties
E_form (uncorrected): -5.23 kcal/mol of atoms

```
Zn2SbSe
1.0
-3.014 3.014 5.781
3.014 -3.014 5.781
3.014 3.014 -5.781
Zn Sb Se
4 2 2
Direct
0.102 0.625 0.977 Zn
0.375 0.352 0.477 Zn
0.648 0.125 0.023 Zn
0.875 0.898 0.523 Zn
0.250 0.750 0.500 Sb
0.500 0.500 0.000 Sb
0.000 0.000 0.000 Se
0.750 0.250 0.500 Se
```


Repeat the second record exactly.
Compound: Zn2SbSe
Source: Alexandria via LeMat-Bulk
Functional: PBE-GGA
Structure: optimized geometry

## Properties
E_form (uncorrected): -5.23 kcal/mol of atoms

```
Zn2SbSe
1.0
-3.014 3.014 5.781
3.014 -3.014 5.781
3.014 3.014 -5.781
Zn Sb Se
4 2 2
Direct
0.102 0.625 0.977 Zn
0.375 0.352 0.477 Zn
0.648 0.125 0.023 Zn
0.875 0.898 0.523 Zn
0.250 0.750 0.500 Sb
0.500 0.500 0.000 Sb
0.000 0.000 0.000 Se
0.750 0.250 0.500 Se
```